Entry 1:
Below is a geometry-optimized Sn2AsPd3 structure, with properties calculated at the PBE level.

symmetry: C2/c (15)
total energy: -60.69 eV/cell

```
Sn2AsPd3
1.0
6.081 -2.747 0.000
6.081 2.747 0.000
-2.133 0.000 6.848
Sn As Pd
4 2 6
Direct
0.184 0.189 0.094
0.189 0.184 0.594
0.811 0.816 0.406
0.816 0.811 0.906
0.302 0.698 0.250
0.698 0.302 0.750
0.163 0.837 0.750
0.375 0.376 0.439
0.376 0.375 0.939
0.624 0.625 0.061
0.625 0.624 0.561
0.837 0.163 0.250
```

Entry 2:
Below is a geometry-optimized GaAg5Br8 structure, with properties calculated at the PBE level.

symmetry: I-4 (82)
formation energy from raw total energies: -6.433 eV per formula unit

```
GaAg5Br8
1.0
-4.257 4.257 6.809
4.257 -4.257 6.809
4.257 4.257 -6.809
Ga Ag Br
1 5 8
Direct
0.000 0.000 0.000
0.250 0.750 0.500
0.311 0.680 0.996
0.320 0.316 0.631
0.684 0.314 0.004
0.686 0.689 0.369
0.329 0.096 0.237
0.346 0.123 0.770
0.354 0.577 0.230
0.423 0.654 0.777
0.859 0.091 0.763
0.877 0.646 0.223
0.904 0.141 0.233
0.909 0.671 0.767
```

Entry 3:
Below is a geometry-optimized PaBeNi structure, with properties calculated at the PBE level.

symmetry: Cmcm (63)
total energy: -39.00 eV/cell

```
PaBeNi
1.0
1.957 -5.438 0.000
1.957 5.438 0.000
0.000 0.000 4.334
Pa Be Ni
2 2 2
Direct
0.082 0.918 0.750
0.918 0.082 0.250
0.364 0.636 0.750
0.636 0.364 0.250
0.234 0.766 0.250
0.766 0.234 0.750
```

Computed D(E_F) (states/eV per cell) in order:
6.28, 0.00, 7.15
Computed size of the total moment (Bohr magnetons per cell) in order:
0.000, 0.000, 0.000